Entry 1:
First-principles (PBE-GGA) data for a relaxed structure of In3Ag5I12, as listed in Alexandria.

Lattice parameters (Å, degrees): 15.8086 15.8086 15.8086 109.47 109.47 109.47
Sites, in units of the cell vectors:
1 In 0.1250 0.2500 0.3750
2 In 0.1250 0.3750 0.7500
3 In 0.2500 0.3750 0.1250
4 In 0.2500 0.8750 0.6250
5 In 0.3750 0.1250 0.2500
6 In 0.3750 0.7500 0.1250
7 In 0.6250 0.2500 0.8750
8 In 0.6250 0.8750 0.7500
9 In 0.7500 0.1250 0.3750
10 In 0.7500 0.6250 0.8750
11 In 0.8750 0.6250 0.2500
12 In 0.8750 0.7500 0.6250
13 Ag 0.0000 0.0000 0.0000
14 Ag 0.0000 0.0000 0.5000
15 Ag 0.0000 0.5000 0.0000
16 Ag 0.0000 0.5000 0.5000
17 Ag 0.1250 0.7500 0.8750
18 Ag 0.1250 0.8750 0.2500
19 Ag 0.2500 0.1250 0.8750
20 Ag 0.2500 0.6250 0.3750
21 Ag 0.3750 0.2500 0.6250
22 Ag 0.3750 0.6250 0.7500
23 Ag 0.5000 0.0000 0.0000
24 Ag 0.5000 0.0000 0.5000
25 Ag 0.5000 0.5000 0.0000
26 Ag 0.5000 0.5000 0.5000
27 Ag 0.6250 0.3750 0.2500
28 Ag 0.6250 0.7500 0.3750
29 Ag 0.7500 0.3750 0.6250
30 Ag 0.7500 0.8750 0.1250
31 Ag 0.8750 0.1250 0.7500
32 Ag 0.8750 0.2500 0.1250
33 I 0.0357 0.2114 0.1261
34 I 0.0357 0.3243 0.9096
35 I 0.0853 0.7114 0.6757
36 I 0.0853 0.8739 0.4096
37 I 0.0904 0.6261 0.4147
38 I 0.0904 0.9643 0.6757
39 I 0.1261 0.0357 0.2114
40 I 0.1261 0.5904 0.9147
41 I 0.1757 0.2114 0.5853
42 I 0.1757 0.4643 0.5904
43 I 0.2114 0.1261 0.0357
44 I 0.2114 0.5853 0.1757
45 I 0.2886 0.3243 0.9147
46 I 0.2886 0.4643 0.3739
47 I 0.3243 0.9096 0.0357
48 I 0.3243 0.9147 0.2886
49 I 0.3739 0.2886 0.4643
50 I 0.3739 0.5853 0.9096
51 I 0.4096 0.0853 0.8739
52 I 0.4096 0.8243 0.5357
53 I 0.4147 0.0904 0.6261
54 I 0.4147 0.8243 0.7886
55 I 0.4643 0.3739 0.2886
56 I 0.4643 0.5904 0.1757
57 I 0.5357 0.4096 0.8243
58 I 0.5357 0.6261 0.7114
59 I 0.5853 0.1757 0.2114
60 I 0.5853 0.9096 0.3739
61 I 0.5904 0.1757 0.4643
62 I 0.5904 0.9147 0.1261
63 I 0.6261 0.4147 0.0904
64 I 0.6261 0.7114 0.5357
65 I 0.6757 0.0853 0.7114
66 I 0.6757 0.0904 0.9643
67 I 0.7114 0.5357 0.6261
68 I 0.7114 0.6757 0.0853
69 I 0.7886 0.4147 0.8243
70 I 0.7886 0.8739 0.9643
71 I 0.8243 0.5357 0.4096
72 I 0.8243 0.7886 0.4147
73 I 0.8739 0.4096 0.0853
74 I 0.8739 0.9643 0.7886
75 I 0.9096 0.0357 0.3243
76 I 0.9096 0.3739 0.5853
77 I 0.9147 0.1261 0.5904
78 I 0.9147 0.2886 0.3243
79 I 0.9643 0.6757 0.0904
80 I 0.9643 0.7886 0.8739

Results
Formation energy from raw total energies   -188 meV per atom
Size of the total moment   0.000 μB/atom
Final energy   -2.241 eV/atom
Symmetry   No. 230


Entry 2:
First-principles (PBE-GGA) data for a relaxed structure of Sm4ScAl5, as listed in Alexandria.

Lattice parameters (Å, degrees): 3.5945 3.5945 18.3873 90.00 90.00 90.00
Sites, in units of the cell vectors:
1 Sm 0.0000 0.0000 0.1039
2 Sm 0.0000 0.0000 0.3112
3 Sm 0.0000 0.0000 0.6888
4 Sm 0.0000 0.0000 0.8961
5 Sc 0.0000 0.0000 0.5000
6 Al 0.5000 0.5000 0.0000
7 Al 0.5000 0.5000 0.2077
8 Al 0.5000 0.5000 0.4180
9 Al 0.5000 0.5000 0.5820
10 Al 0.5000 0.5000 0.7923

Results
Size of the total moment   0.000 μB/atom
Energy of formation from the pure elements   -0.384 eV per atom
Final energy   -4.776 eV/atom
Symmetry   No. 123